The following is a PBE-GGA calculation of crystalline Sc2Ta4Co3C3 at its relaxed geometry, from OQMD via LeMat-Bulk.

Geometry as POSCAR:
```
Sc2Ta4Co3C3
1.0
4.671 -2.696 0.000
4.671 2.696 0.000
-3.224 0.000 13.014
Sc C Ta Co
4 6 8 6
direct
0.542 0.377 0.120
0.458 0.623 0.880
0.623 0.458 0.380
0.377 0.542 0.620
0.000 0.500 0.500
0.835 0.332 0.000
0.165 0.668 0.000
0.500 0.000 0.000
0.332 0.835 0.500
0.668 0.165 0.500
0.859 0.696 0.092
0.304 0.141 0.408
0.977 0.795 0.408
0.696 0.859 0.592
0.205 0.023 0.092
0.023 0.205 0.592
0.795 0.977 0.908
0.141 0.304 0.908
0.902 0.586 0.751
0.414 0.098 0.749
0.098 0.414 0.249
0.074 0.926 0.250
0.586 0.902 0.251
0.926 0.074 0.750
```

Its electronic total energy is -228.75 eV/cell. As for the symmetry: C2/c, No. 15. The magnetic moment comes out at 0.0001 μB/atom.

***

The following is a PBE-GGA calculation of crystalline Sc4TlCoC2 at its relaxed geometry, from OQMD via LeMat-Bulk.

Geometry as POSCAR:
```
Sc4TlCoC2
1.0
-2.906 0.579 -1.517
2.636 -0.994 -1.775
-3.743 -13.513 2.009
Sc C Tl Co
4 2 1 1
direct
0.000 0.000 0.311
0.000 0.000 0.689
0.667 0.333 0.863
0.667 0.333 0.137
0.333 0.667 0.772
0.333 0.667 0.228
0.667 0.333 0.500
0.000 0.000 0.000
```

Its electronic total energy is -55.89 eV/cell. As for the symmetry: P-6m2, No. 187. The magnetic moment comes out at 0.0438 μB/atom.

***

The following is a PBE-GGA calculation of crystalline Sc4Co3W2C3 at its relaxed geometry, from OQMD via LeMat-Bulk.

Geometry as POSCAR:
```
Sc4Co3W2C3
1.0
-2.544 2.948 3.726
-5.144 1.408 -0.781
-1.502 -12.448 5.119
Sc C Co W
8 6 6 4
direct
0.187 0.042 0.098
0.958 0.813 0.402
0.698 0.874 0.598
0.126 0.302 0.902
0.874 0.698 0.098
0.042 0.187 0.598
0.302 0.126 0.402
0.813 0.958 0.902
0.500 0.000 0.000
0.200 0.650 0.000
0.000 0.500 0.500
0.650 0.200 0.500
0.350 0.800 0.500
0.800 0.350 0.000
0.935 0.579 0.749
0.579 0.935 0.249
0.065 0.421 0.251
0.090 0.910 0.250
0.910 0.090 0.750
0.421 0.065 0.751
0.653 0.472 0.411
0.347 0.528 0.589
0.472 0.653 0.911
0.528 0.347 0.089
```

Its electronic total energy is -200.39 eV/cell. As for the symmetry: C2/c, No. 15. The magnetic moment comes out at 0.0376 μB/atom.

***

The following is a PBE-GGA calculation of crystalline Sc2Co3W4C3 at its relaxed geometry, from OQMD via LeMat-Bulk.

Geometry as POSCAR:
```
Sc2Co3W4C3
1.0
4.551 -2.624 0.000
4.551 2.624 0.000
-3.207 0.000 12.978
C W Co Sc
6 8 6 4
direct
0.000 0.500 0.500
0.500 0.000 0.000
0.831 0.335 0.000
0.169 0.665 0.000
0.665 0.169 0.500
0.335 0.831 0.500
0.018 0.207 0.588
0.207 0.018 0.088
0.146 0.305 0.912
0.854 0.695 0.088
0.982 0.793 0.412
0.793 0.982 0.912
0.695 0.854 0.588
0.305 0.146 0.412
0.413 0.099 0.749
0.901 0.587 0.751
0.587 0.901 0.251
0.078 0.922 0.250
0.922 0.078 0.750
0.099 0.413 0.249
0.622 0.456 0.375
0.544 0.378 0.125
0.378 0.544 0.625
0.456 0.622 0.875
```

Its electronic total energy is -231.65 eV/cell. As for the symmetry: C2/c, No. 15. The magnetic moment comes out at 0.0038 μB/atom.

***

The following is a PBE-GGA calculation of crystalline Y4Sc2Co3C3 at its relaxed geometry, from OQMD via LeMat-Bulk.

Geometry as POSCAR:
```
Y4Sc2Co3C3
1.0
-5.448 2.347 -1.663
-1.635 0.433 -5.924
-3.226 -13.293 3.084
C Co Y Sc
6 6 8 4
direct
0.659 0.182 0.995
0.818 0.341 0.505
0.182 0.659 0.495
0.341 0.818 0.005
0.000 0.500 0.000
0.500 0.000 0.500
0.294 0.706 0.750
0.371 0.270 0.249
0.706 0.294 0.250
0.270 0.371 0.749
0.629 0.730 0.751
0.730 0.629 0.251
0.025 0.205 0.101
0.696 0.875 0.102
0.205 0.025 0.601
0.125 0.304 0.398
0.975 0.795 0.899
0.795 0.975 0.399
0.875 0.696 0.602
0.304 0.125 0.898
0.370 0.518 0.089
0.518 0.370 0.589
0.630 0.482 0.911
0.482 0.630 0.411
```

Its electronic total energy is -177.21 eV/cell. As for the symmetry: C2/c, No. 15. The magnetic moment comes out at 0.2005 μB/atom.

***

The following is a PBE-GGA calculation of crystalline Sc4ZnCoC2 at its relaxed geometry, from OQMD via LeMat-Bulk.

Geometry as POSCAR:
```
Sc4ZnCoC2
1.0
3.295 0.000 0.000
-1.648 2.854 0.000
0.000 0.000 13.719
Co Sc Zn C
1 4 1 2
direct
0.333 0.667 0.000
0.667 0.333 0.141
0.667 0.333 0.859
0.333 0.667 0.323
0.333 0.667 0.677
0.667 0.333 0.500
0.000 0.000 0.236
0.000 0.000 0.764
```

Its electronic total energy is -54.29 eV/cell. As for the symmetry: P-6m2, No. 187. The magnetic moment comes out at 0.0557 μB/atom.

***

The following is a PBE-GGA calculation of crystalline Zr4Sc2Co3C3 at its relaxed geometry, from OQMD via LeMat-Bulk.

Geometry as POSCAR:
```
Zr4Sc2Co3C3
1.0
-5.002 -2.679 0.070
-1.723 -2.928 -4.546
8.230 -8.910 6.329
Sc Zr C Co
4 8 6 6
direct
0.539 0.374 0.611
0.626 0.461 0.889
0.461 0.626 0.389
0.374 0.539 0.111
0.863 0.699 0.595
0.796 0.972 0.404
0.301 0.137 0.905
0.204 0.028 0.596
0.137 0.301 0.405
0.699 0.863 0.095
0.028 0.204 0.096
0.972 0.796 0.904
0.665 0.169 0.000
0.831 0.335 0.500
0.500 0.000 0.500
0.169 0.665 0.500
0.335 0.831 0.000
0.000 0.500 0.000
0.099 0.414 0.750
0.586 0.901 0.750
0.075 0.925 0.750
0.901 0.586 0.250
0.925 0.075 0.250
0.414 0.099 0.250
```

Its electronic total energy is -199.90 eV/cell. As for the symmetry: C2/c, No. 15. The magnetic moment comes out at 0.0013 μB/atom.

***

The following is a PBE-GGA calculation of crystalline Zr2Sc4Co3C3 at its relaxed geometry, from OQMD via LeMat-Bulk.

Geometry as POSCAR:
```
Zr2Sc4Co3C3
1.0
-2.470 -4.820 -1.549
2.008 -4.915 1.882
-7.688 3.923 10.142
C Sc Zr Co
6 8 4 6
direct
0.189 0.656 0.000
0.344 0.811 0.500
0.500 0.000 0.000
0.811 0.344 0.000
0.656 0.189 0.500
0.000 0.500 0.500
0.134 0.301 0.905
0.699 0.866 0.595
0.866 0.699 0.095
0.966 0.804 0.405
0.301 0.134 0.405
0.196 0.034 0.095
0.804 0.966 0.905
0.034 0.196 0.595
0.371 0.535 0.607
0.465 0.629 0.893
0.629 0.465 0.393
0.535 0.371 0.107
0.419 0.087 0.750
0.581 0.913 0.250
0.913 0.087 0.750
0.913 0.581 0.750
0.087 0.913 0.250
0.087 0.419 0.250
```

Its electronic total energy is -189.80 eV/cell. As for the symmetry: C2/c, No. 15. The magnetic moment comes out at 0.0872 μB/atom.

***

The following is a PBE-GGA calculation of crystalline Co2TeCSe at its relaxed geometry, from OQMD via LeMat-Bulk.

Geometry as POSCAR:
```
Co2TeCSe
1.0
3.149 0.000 0.000
-1.574 2.727 0.000
0.000 0.000 9.157
Co Se Te C
2 1 1 1
direct
0.333 0.667 0.899
0.667 0.333 0.086
0.667 0.333 0.718
0.333 0.667 0.303
0.000 0.000 0.995
```

Its electronic total energy is -29.14 eV/cell. As for the symmetry: P3m1, No. 156. The magnetic moment comes out at 0.0007 μB/atom.

***

The following is a PBE-GGA calculation of crystalline TlCo4C2Se at its relaxed geometry, from OQMD via LeMat-Bulk.

Geometry as POSCAR:
```
TlCo4C2Se
1.0
-2.117 -2.167 -0.152
2.298 0.017 -1.980
6.455 -6.826 7.436
C Co Se Tl
2 4 1 1
direct
0.667 0.333 0.759
0.667 0.333 0.241
0.000 0.000 0.165
0.000 0.000 0.835
0.333 0.667 0.311
0.333 0.667 0.689
0.333 0.667 0.000
0.000 0.000 0.500
```

Its electronic total energy is -50.44 eV/cell. As for the symmetry: P-6m2, No. 187. The magnetic moment comes out at 0.0015 μB/atom.

***

The following is a PBE-GGA calculation of crystalline CoSiC3 at its relaxed geometry, from OQMD via LeMat-Bulk.

Geometry as POSCAR:
```
CoSiC3
1.0
-3.024 2.514 3.347
-2.480 3.136 -3.268
0.380 -5.130 -0.451
C Si Co
6 2 2
direct
0.602 0.898 0.500
0.250 0.250 0.000
0.102 0.602 0.704
0.398 0.102 0.500
0.898 0.398 0.296
0.750 0.750 0.000
0.000 0.000 0.000
0.500 0.500 0.000
0.750 0.250 0.500
0.250 0.750 0.500
```

Its electronic total energy is -70.41 eV/cell. As for the symmetry: I4/mcm, No. 140. The magnetic moment comes out at 0.0370 μB/atom.

***

The following is a PBE-GGA calculation of crystalline Y2Co2SiSnC at its relaxed geometry, from OQMD via LeMat-Bulk.

Geometry as POSCAR:
```
Y2Co2SiSnC
1.0
-0.879 5.500 1.721
0.031 3.224 4.856
5.652 -2.391 -3.376
Y C Co Sn Si
2 1 2 1 1
direct
0.438 0.438 0.703
0.554 0.554 0.276
0.005 0.005 0.005
0.821 0.821 0.940
0.197 0.197 0.101
0.155 0.155 0.694
0.829 0.829 0.281
```

Its electronic total energy is -49.62 eV/cell. As for the symmetry: Cm, No. 8. The magnetic moment comes out at 0.0048 μB/atom.

***

The following is a PBE-GGA calculation of crystalline TbTmCo2Si2C at its relaxed geometry, from OQMD via LeMat-Bulk.

Geometry as POSCAR:
```
TbTmCo2Si2C
1.0
1.493 -1.293 5.240
-1.898 -2.914 4.389
2.633 -2.519 -5.688
C Si Tb Co Tm
1 2 1 2 1
direct
0.999 0.999 0.996
0.156 0.156 0.704
0.844 0.844 0.298
0.564 0.564 0.298
0.199 0.199 0.088
0.800 0.800 0.911
0.437 0.437 0.705
```

Its electronic total energy is -48.20 eV/cell. As for the symmetry: Cm, No. 8. The magnetic moment comes out at 0.0023 μB/atom.

***

The following is a PBE-GGA calculation of crystalline Tb2CoSi2WC at its relaxed geometry, from OQMD via LeMat-Bulk.

Geometry as POSCAR:
```
Tb2CoSi2WC
1.0
5.469 -1.947 0.000
5.469 1.947 0.000
-4.296 0.000 5.518
Tb W Co Si C
2 1 1 2 1
direct
0.434 0.434 0.705
0.570 0.570 0.299
0.803 0.803 0.914
0.206 0.206 0.088
0.135 0.135 0.682
0.842 0.842 0.304
0.011 0.011 0.008
```

Its electronic total energy is -53.33 eV/cell. As for the symmetry: Cm, No. 8. The magnetic moment comes out at 0.0004 μB/atom.

***

The following is a PBE-GGA calculation of crystalline CoSiW4C2 at its relaxed geometry, from OQMD via LeMat-Bulk.

Geometry as POSCAR:
```
CoSiW4C2
1.0
3.075 0.000 0.000
-1.537 2.663 0.000
0.000 0.000 12.462
Co C W Si
1 2 4 1
direct
0.000 0.000 0.000
0.333 0.667 0.249
0.333 0.667 0.751
0.000 0.000 0.655
0.000 0.000 0.345
0.667 0.333 0.155
0.667 0.333 0.845
0.667 0.333 0.500
```

Its electronic total energy is -81.42 eV/cell. As for the symmetry: P-6m2, No. 187. The magnetic moment comes out at 0.0169 μB/atom.

***

The following is a PBE-GGA calculation of crystalline CoSnW4C2 at its relaxed geometry, from OQMD via LeMat-Bulk.

Geometry as POSCAR:
```
CoSnW4C2
1.0
3.110 0.000 0.000
-1.555 2.693 0.000
0.000 0.000 13.135
Sn Co W C
1 1 4 2
direct
0.667 0.333 0.500
0.000 0.000 0.000
0.000 0.000 0.680
0.000 0.000 0.320
0.667 0.333 0.144
0.667 0.333 0.856
0.333 0.667 0.235
0.333 0.667 0.765
```

Its electronic total energy is -79.17 eV/cell. As for the symmetry: P-6m2, No. 187. The magnetic moment comes out at 0.0518 μB/atom.

***

The following is a PBE-GGA calculation of crystalline Y4CoSnC2 at its relaxed geometry, from OQMD via LeMat-Bulk.

Geometry as POSCAR:
```
Y4CoSnC2
1.0
3.602 0.000 0.000
-1.801 3.120 0.000
0.000 0.000 14.818
Co Y Sn C
1 4 1 2
direct
0.000 0.000 0.000
0.000 0.000 0.681
0.667 0.333 0.865
0.000 0.000 0.319
0.667 0.333 0.135
0.667 0.333 0.500
0.333 0.667 0.231
0.333 0.667 0.769
```

Its electronic total energy is -57.47 eV/cell. As for the symmetry: P-6m2, No. 187. The magnetic moment comes out at 0.0935 μB/atom.

***

The following is a PBE-GGA calculation of crystalline Zr4CoSnC2 at its relaxed geometry, from OQMD via LeMat-Bulk.

Geometry as POSCAR:
```
Zr4CoSnC2
1.0
3.325 0.000 0.000
-1.663 2.880 0.000
0.000 0.000 13.979
C Sn Zr Co
2 1 4 1
direct
0.333 0.667 0.235
0.333 0.667 0.765
0.667 0.333 0.500
0.000 0.000 0.676
0.667 0.333 0.137
0.667 0.333 0.863
0.000 0.000 0.324
0.000 0.000 0.000
```

Its electronic total energy is -68.21 eV/cell. As for the symmetry: P-6m2, No. 187. The magnetic moment comes out at 0.0021 μB/atom.

***

The following is a PBE-GGA calculation of crystalline TaCoC3 at its relaxed geometry, from OQMD via LeMat-Bulk.

Geometry as POSCAR:
```
TaCoC3
1.0
-5.057 4.193 -8.477
3.668 -6.745 7.488
-2.078 0.546 1.509
Co C Ta
2 6 2
direct
0.716 0.284 0.250
0.284 0.716 0.750
0.981 0.019 0.750
0.147 0.853 0.250
0.853 0.147 0.750
0.019 0.981 0.250
0.188 0.812 0.750
0.812 0.188 0.250
0.586 0.414 0.750
0.414 0.586 0.250
```

Its electronic total energy is -85.33 eV/cell. As for the symmetry: Cmcm, No. 63. The magnetic moment comes out at 0.0048 μB/atom.